Below is crystalline La2ZnSb at its relaxed geometry, with properties calculated at the PBE-GGA level.

Values from the calculation:
calculated density: 6.4 g/cm3
ΔE_f (raw): -0.73 eV/atom

```
4
Lattice="-0.202 5.282 -3.543 -4.415 3.673 -2.741 -0.237 2.446 3.657" Properties=species:S:1:pos:R:3 pbc="T T T"
Zn -1.381 2.926 -1.381
La -3.544 8.115 -2.335
Sb -2.230 5.567 -0.549
La -0.127 0.494 0.323
```

---

Below is crystalline LaZn2Sb at its relaxed geometry, with properties calculated at the PBE-GGA level.

Values from the calculation:
calculated density: 6.6 g/cm3
ΔE_f (raw): -0.38 eV/atom

```
4
Lattice="6.137 0.001 -0.004 3.130 5.279 0.004 -4.601 -2.697 3.036" Properties=species:S:1:pos:R:3 pbc="T T T"
Zn 8.683 4.948 0.000
La 4.812 2.742 0.000
Sb 1.620 2.633 1.520
Zn 3.451 0.181 1.516
```

---

Q: Which of these has the lowest ΔE_f (raw)?
A: La2ZnSb